{"formula": "Sr2Tl8Pb3", "functional": "GGA-PBE", "state": "optimized geometry", "lattice": [[-2.219, -6.010, 2.239], [-2.816, -2.065, -8.334], [8.250, -0.850, 2.322]], "species": ["Pb", "Pb", "Sr", "Tl", "Tl", "Tl", "Sr", "Tl", "Tl", "Tl", "Pb", "Tl", "Tl"], "frac_coords": [[0.500, 0.000, 0.000], [0.000, 0.178, 0.000], [0.724, 0.797, 0.593], [0.559, 0.213, 0.785], [0.559, 0.572, 0.785], [0.441, 0.428, 0.215], [0.276, 0.203, 0.407], [0.217, 0.796, 0.593], [0.097, 0.407, 0.813], [0.441, 0.787, 0.215], [0.000, 0.822, 0.000], [0.903, 0.593, 0.187], [0.783, 0.204, 0.407]], "crystal_system": "monoclinic", "volume_a3_per_fu": 444, "delta_e_f_ev_per_atom": -0.077}